Entry 1:
# RbLiP2Cl

A relaxed structure of RbLiP2Cl (PBE-GGA, the Alexandria database).

The value obtained for the density of states at the Fermi level is 2.4 states/eV/cell. For the total energy, the calculation gives -3.13 eV per atom. Its energy above the most stable polymorph in this dataset is 0.0000 eV/atom. The magnetization is 0.11 μB/atom. The value obtained for the uncorrected formation energy is -0.1 eV/f.u.

The structure belongs to space group P4/mmm (No. 123); the cell edges are 4.409, 4.409 and 6.994 Å and the angles 90.00°, 90.00° and 90.00°. The inequivalent atoms are Rb at (0.000, 0.000, 0.000), Li at (0.500, 0.500, 0.500), P at (0.000, 0.500, 0.500) and Cl at (0.500, 0.500, 0.000).

***

Entry 2:
# Al2CrPbBr

A relaxed structure of Al2CrPbBr (PBE-GGA, the Alexandria database).

The value obtained for the density of states at the Fermi level is 3.1 states/eV/cell. For the total energy, the calculation gives -3.44 eV per atom. The magnetization is 0.88 μB/atom. The value obtained for the uncorrected formation energy is 5.3 eV/f.u.

The structure belongs to space group P4/mmm (No. 123); the cell edges are 5.248, 5.248 and 5.685 Å and the angles 90.00°, 90.00° and 90.00°. The inequivalent atoms are Al at (0.000, 0.500, 0.000), Cr at (0.000, 0.000, 0.500), Pb at (0.500, 0.500, 0.500) and Br at (0.500, 0.500, 0.000).

***

Entry 3:
# MoPb

A relaxed structure of MoPb (PBE-GGA, the Alexandria database).

The value obtained for the density of states at the Fermi level is 6.6 states/eV/cell. For the total energy, the calculation gives -6.39 eV per atom. Its energy above the most stable polymorph in this dataset is 0.5545 eV/atom. The magnetization is 0.00 μB/atom.

The structure belongs to space group R-3m (No. 166, hexagonal axes); the cell edges are 5.0413, 5.0413 and 11.5523 Å and the angles 90.00°, 90.00° and 120.00°. The inequivalent atoms are Mo at (0.0000, 0.0000, 0.1106) and Pb at (0.0000, 0.0000, 0.3697).

***

Entry 4:
# Be2InNi

A relaxed structure of Be2InNi (PBE-GGA, the Alexandria database).

The value obtained for the density of states at the Fermi level is 1.2 states/eV/cell. For the total energy, the calculation gives -3.78 eV per atom. Its energy above the most stable polymorph in this dataset is 0.1621 eV/atom. The magnetization is 0.00 μB/atom.

The structure belongs to space group P2/m (No. 10); the cell edges are 2.723, 3.941 and 4.778 Å and the angles 90.00°, 93.42° and 90.00°. The inequivalent atoms are Be at (0.234, 0.000, 0.315), In at (0.500, 0.500, 0.000) and Ni at (0.000, 0.500, 0.500).

***

Entry 5:
# Cd2HgPt2

A relaxed structure of Cd2HgPt2 (PBE-GGA, the Alexandria database).

The value obtained for the density of states at the Fermi level is 4.6 states/eV/cell. For the total energy, the calculation gives -3.04 eV per atom. Its energy above the most stable polymorph in this dataset is 0.0000 eV/atom. The magnetization is 0.00 μB/atom.

The structure belongs to space group P4/mbm (No. 127); the cell edges are 7.242, 7.242 and 3.770 Å and the angles 90.00°, 90.00° and 90.00°. The inequivalent atoms are Cd at (0.162, 0.338, 0.000), Hg at (0.000, 0.000, 0.500) and Pt at (0.136, 0.636, 0.500).

***

Entry 6:
# Er4Tm2ZrSc

A relaxed structure of Er4Tm2ZrSc (PBE-GGA, the Alexandria database).

The value obtained for the density of states at the Fermi level is 11.7 states/eV/cell. For the total energy, the calculation gives -5.20 eV per atom. The magnetization is 0.00 μB/atom.

The structure belongs to space group P4/mmm (No. 123); the cell edges are 4.847, 4.847 and 9.681 Å and the angles 90.00°, 90.00° and 90.00°. The inequivalent atoms are Er at (0.000, 0.500, 0.244), Tm at (0.000, 0.000, 0.000), Tm at (0.500, 0.500, 0.500), Zr at (0.500, 0.500, 0.000) and Sc at (0.000, 0.000, 0.500).

***

Entry 7:
# La4Ag2Au

A relaxed structure of La4Ag2Au (PBE-GGA, the Alexandria database).

The value obtained for the density of states at the Fermi level is 30.1 states/eV/cell. For the total energy, the calculation gives -4.38 eV per atom. Its energy above the most stable polymorph in this dataset is 0.0000 eV/atom. The magnetization is 0.06 μB/atom.

The structure belongs to space group R-3m (No. 166, hexagonal axes); the cell edges are 5.3449, 5.3449 and 26.0617 Å and the angles 90.00°, 90.00° and 120.00°. The inequivalent atoms are La at (0.0000, 0.0000, 0.1237), La at (0.0000, 0.0000, 0.3744), Ag at (0.0000, 0.0000, 0.2465) and Au at (0.0000, 0.0000, 0.0000).

***

Entry 8:
# HoAlAs2O8

A relaxed structure of HoAlAs2O8 (PBE-GGA, the Alexandria database).

The value obtained for the density of states at the Fermi level is 0.0 states/eV/cell. For the total energy, the calculation gives -6.74 eV per atom. The magnetization is 0.00 μB/atom. The value obtained for the uncorrected formation energy is -23.6 eV/f.u.

The structure belongs to space group I-4m2 (No. 119); the cell edges are 6.847, 6.847 and 6.150 Å and the angles 90.00°, 90.00° and 90.00°. The inequivalent atoms are Ho at (0.000, 0.000, 0.000), Al at (0.000, 0.500, 0.250), As at (0.000, 0.000, 0.500), As at (0.000, 0.500, 0.750), O at (0.000, 0.194, 0.320) and O at (0.000, 0.322, 0.946).

***

Entry 9:
# Na8Sn2Hg

A relaxed structure of Na8Sn2Hg (PBE-GGA, the Alexandria database).

The value obtained for the density of states at the Fermi level is 9.6 states/eV/cell. For the total energy, the calculation gives -1.86 eV per atom. The magnetization is 0.00 μB/atom.

The structure belongs to space group C2/m (No. 12); the cell edges are 17.800, 5.491 and 7.436 Å and the angles 90.00°, 114.65° and 90.00°. The inequivalent atoms are Na at (0.001, 0.000, 0.217), Na at (0.155, 0.500, 0.925), Na at (0.156, 0.500, 0.387), Na at (0.176, 0.000, 0.678), Sn at (0.180, 0.000, 0.179) and Hg at (0.000, 0.500, 0.500).

***

Entry 10:
# CaPm2Tm2

A relaxed structure of CaPm2Tm2 (PBE-GGA, the Alexandria database).

The value obtained for the density of states at the Fermi level is 13.1 states/eV/cell. For the total energy, the calculation gives -4.05 eV per atom. The magnetization is 0.00 μB/atom.

The structure belongs to space group Cmmm (No. 65); the cell edges are 5.518, 17.572 and 3.542 Å and the angles 90.00°, 90.00° and 90.00°. The inequivalent atoms are Ca at (0.000, 0.000, 0.000), Pm at (0.000, 0.377, 0.500) and Tm at (0.000, 0.201, 0.000).

***

Entry 11:
# KMo2As

A relaxed structure of KMo2As (PBE-GGA, the Alexandria database).

The value obtained for the density of states at the Fermi level is 5.1 states/eV/cell. For the total energy, the calculation gives -6.45 eV per atom. The magnetization is 0.00 μB/atom.

The structure belongs to space group Cm (No. 8); the cell edges are 8.395, 3.187 and 7.320 Å and the angles 90.00°, 97.54° and 90.00°. The inequivalent atoms are K at (0.000, 0.000, 0.000), Mo at (0.006, 0.500, 0.510), Mo at (0.283, 0.500, 0.384) and As at (0.244, 0.000, 0.664).

***

Entry 12:
# KLa7

A relaxed structure of KLa7 (PBE-GGA, the Alexandria database).

The value obtained for the density of states at the Fermi level is 47.8 states/eV/cell. For the total energy, the calculation gives -4.25 eV per atom. The magnetization is 0.00 μB/atom.

The structure belongs to space group Fm-3m (No. 225); the cell edges are 10.713, 10.713 and 10.713 Å and the angles 90.00°, 90.00° and 90.00°. The inequivalent atoms are K at (0.000, 0.000, 0.000), La at (0.000, 0.000, 0.500) and La at (0.000, 0.250, 0.250).